A plane-wave DFT calculation with PBE-GGA was carried out for an optimized crystal structure of SrPa3P4N12.

Cell and atoms, written as extended XYZ:
```
20
Lattice="-5.4878 -3.4443 -2.5749 4.6532 -0.2888 -5.1839 2.5916 -4.4165 4.7315" Properties=species:S:1:pos:R:3 pbc="T T T"
N 4.9356 -2.8124 -2.5575
N 0.5784 -4.6755 -0.0707
N -2.6178 -5.4858 0.7986
N 3.0261 -2.5015 -5.0454
N 0.0537 -5.7262 2.4533
N 0.3146 -2.4771 -5.5991
N -0.2973 -3.9333 -2.5769
N 2.3543 -3.6156 -1.8933
N 4.8285 -3.7507 0.4493
N -2.3539 -3.6858 -4.4367
N 3.1351 -5.1458 2.1363
N -3.4157 -5.0879 -1.8215
Pa -0.8623 -2.0050 -3.7649
Pa -1.0936 -3.9730 1.3989
Pa 3.7128 -2.1715 -0.6613
P -3.7198 -5.5056 -0.3306
P 4.5419 -4.5156 1.7993
P 1.8133 -2.2031 -6.0097
P 0.8785 -4.0748 -1.5136
Sr 0.0000 0.0000 0.0000
```

Calculated values
energy relative to the elements, uncorrected	-0.872	eV/atom